Pr2SbH2 | Alexandria | GGA-PBE | optimized geometry; space-group type = No. 70; relative energy among the computed polymorphs = 1.22 kcal/mol of atoms
1.0
-3.463 -4.080 -3.125
1.444 -1.793 5.754
-3.760 5.464 0.670
Pr Sb H
4 2 4
Cartesian
0.515 -2.226 4.073
-2.592 -0.065 2.188
-0.734 0.801 5.550
-2.534 -3.647 -1.444
-1.009 -2.936 1.314
-4.116 -0.776 -0.570
-1.128 0.598 0.469
-4.651 -1.006 2.829
-2.791 0.966 4.339
-0.534 -0.230 3.400



Hf2Cu3Si2 | Alexandria | GGA-PBE | optimized geometry; space-group type = No. 65; energy relative to the elements, uncorrected = -185 meV/atom
1.0
3.515 0.000 0.000
0.000 3.610 0.000
0.000 -1.805 8.702
Cu Hf Si
3 2 2
Cartesian
0.000 0.000 0.000
1.758 1.805 1.198
1.758 0.000 7.503
0.000 0.000 2.813
0.000 1.805 5.888
1.758 1.805 3.595
1.758 0.000 5.107